An optimized crystal structure of MnCu2Mo, computed with PBEsol.

abc: 3.4299 3.4299 4.7445
angles: 111.19 111.19 90.00
Last column: nearest neighbours and their distance in Å.
Positions (direct):
Cu 0.7500 0.2500 0.5000  4 Cu 2.43, 4 Mn 2.66, 4 Mo 2.66
Cu 0.2500 0.7500 0.5000  4 Cu 2.43, 4 Mn 2.66, 4 Mo 2.66
Mn 0.0000 0.0000 0.0000  4 Mo 2.43, 8 Cu 2.66
Mo 0.5000 0.5000 0.0000  4 Mn 2.43, 8 Cu 2.66

Properties
Formation energy from the elements   216 meV/atom
Crystal system   tetragonal


An optimized crystal structure of Mn2CuMo, computed with PBEsol.

abc: 3.3519 3.7960 3.7960
angles: 90.00 90.00 90.00
Last column: nearest neighbours and their distance in Å.
Positions (direct):
Cu 0.5000 0.0000 0.0000  8 Mn 2.53, 4 Mo 2.68
Mn 0.0000 0.0000 0.5000  4 Mo 2.53, 4 Cu 2.53, 4 Mn 2.68
Mn 0.0000 0.5000 0.0000  4 Mo 2.53, 4 Cu 2.53, 4 Mn 2.68
Mo 0.5000 0.5000 0.5000  8 Mn 2.53, 4 Cu 2.68

Properties
Formation energy from the elements   191 meV/atom
Crystal system   tetragonal


An optimized crystal structure of MnCu3N, computed with PBEsol.

abc: 3.8411 3.8411 3.8411
angles: 90.00 90.00 90.00
Last column: nearest neighbours and their distance in Å.
Positions (direct):
Mn 0.5000 0.5000 0.5000  12 Cu 2.72
Cu 0.0000 0.5000 0.0000  2 N 1.92
Cu 0.0000 0.0000 0.5000  2 N 1.92
Cu 0.5000 0.0000 0.0000  2 N 1.92
N 0.0000 0.0000 0.0000  6 Cu 1.92

Properties
Uncorrected energy   -28.98 eV for the cell shown
Crystal system   cubic


An optimized crystal structure of Mn3CuN, computed with PBEsol.

abc: 3.7188 3.7188 3.7188
angles: 90.00 90.00 90.00
Last column: nearest neighbours and their distance in Å.
Positions (direct):
Mn 0.0000 0.5000 0.0000  2 N 1.86
Mn 0.0000 0.0000 0.5000  2 N 1.86
Mn 0.5000 0.0000 0.0000  2 N 1.86
Cu 0.5000 0.5000 0.5000  12 Mn 2.63
N 0.0000 0.0000 0.0000  6 Mn 1.86

Properties
Uncorrected energy   -42.77 eV for the cell shown
Crystal system   cubic


An optimized crystal structure of Mn10CuN8, computed with PBEsol.

abc: 3.9710 6.4154 7.4699
angles: 105.98 105.41 90.00
Last column: nearest neighbours and their distance in Å.
Positions (direct):
Mn 0.7875 0.8212 0.5751  3 N 1.84-1.86
Mn 0.2125 0.1788 0.4249  3 N 1.84-1.86
Mn 0.9603 0.7731 0.9205  5 N 1.98-2.10
Mn 0.0397 0.2269 0.0795  5 N 1.98-2.10
Mn 0.6753 0.4317 0.3506  5 N 1.95-2.06
Mn 0.3247 0.5683 0.6494  5 N 1.95-2.06
Mn 0.5968 0.9673 0.1936  5 N 1.96-2.07
Mn 0.4032 0.0327 0.8064  5 N 1.96-2.07
Mn 0.8479 0.2829 0.6957  4 N 1.94-1.99
Mn 0.1521 0.7171 0.3043  4 N 1.94-1.99
Cu 0.5000 0.5000 0.0000  2 N 2.02
N 0.9037 0.0412 0.8075  5 Mn 1.86-1.99
N 0.0963 0.9588 0.1925  5 Mn 1.86-1.99
N 0.8231 0.5676 0.6462  6 Mn 1.84-2.06
N 0.1769 0.4324 0.3538  6 Mn 1.84-2.06
N 0.6544 0.7252 0.3088  5 Mn 1.84-1.99
N 0.3456 0.2748 0.6912  5 Mn 1.84-1.99
N 0.5450 0.2287 0.0899  5 Mn 1.95-2.07, 1 Cu 2.02
N 0.4550 0.7713 0.9101  5 Mn 1.95-2.07, 1 Cu 2.02

Properties
Uncorrected energy   -175.49 eV for the cell shown
Crystal system   monoclinic


An optimized crystal structure of MnCuN2O, computed with PBEsol.

abc: 3.6873 3.6873 3.7414
angles: 90.00 90.00 90.00
Last column: nearest neighbours and their distance in Å.
Positions (direct):
Mn 0.5000 0.5000 0.5000  4 O 2.61, 8 N 2.63
O 0.0000 0.0000 0.5000  2 Cu 1.87
Cu 0.0000 0.0000 0.0000  4 N 1.84, 2 O 1.87
N 0.0000 0.5000 0.0000  2 Cu 1.84
N 0.5000 0.0000 0.0000  2 Cu 1.84

Properties
Uncorrected energy   -31.23 eV for the cell shown
Crystal system   tetragonal


| no. | calculated volume (Å³/cell) |
| --- | --- |
| 1 | 48 |
| 2 | 48 |
| 3 | 57 |
| 4 | 51 |
| 5 | 176 |
| 6 | 51 |